No. 1
This record from Alexandria describes crystalline K3Ti3NiSe8 at its relaxed geometry. The functional is PBE.

Values from the calculation:
energy relative to the elements, uncorrected: -1022 meV per atom
E_tot: -5.06 eV/atom

a b c (Å): 8.9081 8.9081 8.9081
angles (deg): 49.62 49.62 49.62
Sites, in units of the cell vectors:
K 0.0000 0.5000 0.5000
K 0.5000 0.0000 0.5000
K 0.5000 0.5000 0.0000
Ti 0.0000 0.0000 0.5000
Ti 0.0000 0.5000 0.0000
Ti 0.5000 0.0000 0.0000
Ni 0.5000 0.5000 0.5000
Se 0.2306 0.2306 0.2306
Se 0.2308 0.7248 0.7248
Se 0.2752 0.2752 0.7692
Se 0.2752 0.7692 0.2752
Se 0.7248 0.2308 0.7248
Se 0.7248 0.7248 0.2308
Se 0.7692 0.2752 0.2752
Se 0.7694 0.7694 0.7694


No. 2
This record from Alexandria describes crystalline KU2Ni2Se6 at its relaxed geometry. The functional is PBE.

Values from the calculation:
energy relative to the elements, uncorrected: -804 meV per atom
E_tot: -5.91 eV/atom

a b c (Å): 7.3201 7.3450 7.5303
angles (deg): 89.75 61.49 61.30
Sites, in units of the cell vectors:
K 0.0000 0.0000 0.0000
U 0.3307 0.0097 0.3323
U 0.6693 0.9903 0.6677
Ni 0.1076 0.5564 0.3446
Ni 0.8924 0.4436 0.6554
Se 0.1673 0.7450 0.5365
Se 0.2256 0.2489 0.6924
Se 0.4587 0.2523 0.0643
Se 0.5413 0.7477 0.9357
Se 0.7744 0.7511 0.3076
Se 0.8327 0.2550 0.4635


No. 3
This record from Alexandria describes crystalline K2UNi2Se4 at its relaxed geometry. The functional is PBE.

Values from the calculation:
energy relative to the elements, uncorrected: -925 meV per atom
E_tot: -5.26 eV/atom

a b c (Å): 7.4975 7.4975 7.9562
angles (deg): 108.13 108.13 30.70
Sites, in units of the cell vectors:
K 0.1362 0.1362 0.0633
K 0.8638 0.8638 0.9367
U 0.0000 0.0000 0.5000
Ni 0.3198 0.3198 0.5095
Ni 0.6802 0.6802 0.4905
Se 0.2008 0.2008 0.6701
Se 0.4789 0.4789 0.7367
Se 0.5211 0.5211 0.2633
Se 0.7992 0.7992 0.3299